VASP calculation (GGA-PBE) on a relaxed K2NaSnCl6 crystal.

POSCAR file:
```
K2NaSnCl6
1.0
-1.696 4.818 -5.556
2.331 -1.389 -7.043
-10.663 -5.357 -6.517
Cl K Sn Na
12 4 2 2
Cartesian
-1.917 2.926 -7.129
-7.555 -0.539 -8.413
-9.362 -4.109 -8.206
-6.362 -1.250 -12.016
-10.273 -1.523 -11.188
-8.111 -4.855 -11.986
-5.494 -3.715 -9.174
-0.666 2.181 -10.909
0.245 -0.405 -7.927
-4.534 1.787 -9.941
-3.666 -0.678 -7.099
-2.473 -1.389 -10.702
-4.146 0.572 -13.617
-8.242 -1.877 -14.490
-5.882 -2.500 -5.498
-1.786 -0.051 -4.625
-5.014 -0.964 -9.558
0.000 0.000 0.000
-2.164 0.740 -8.950
-7.864 -2.668 -10.165
```

Properties
Formation energy from raw total energies   -1.495 eV per atom
ρ   2.26 g/cm3

---

VASP calculation (GGA-PBE) on a relaxed YPtAu2 crystal.

POSCAR file:
```
YPtAu2
1.0
-5.175 0.532 -1.254
-3.293 -1.824 3.804
4.203 3.295 -0.033
Au Pt Y
2 1 1
Cartesian
0.000 0.000 0.000
-4.234 -0.646 1.275
-2.603 1.590 -0.006
-1.662 0.412 2.523
```

Properties
Calculated formation energy   -771.6 meV/atom
Polymorph energy (0 for the lowest one)   0 meV per atom
ρ   14.63 g/cm3

---

VASP calculation (GGA-PBE) on a relaxed Ga2OsAu crystal.

POSCAR file:
```
Ga2OsAu
1.0
5.760 0.000 0.000
0.000 5.760 0.000
2.880 2.880 5.717
Au Os Ga
2 2 4
Cartesian
0.000 0.000 0.000
5.760 2.880 2.859
2.880 5.760 2.859
2.880 2.880 0.000
1.593 4.320 1.429
4.320 4.473 4.288
7.201 7.048 4.288
4.167 1.440 1.429
```

Properties
Calculated formation energy   673.4 meV/atom
Polymorph energy (0 for the lowest one)   487 meV per atom
ρ   9.22 g/cm3

---

VASP calculation (GGA-PBE) on a relaxed MgTl6C2O6F2 crystal.

POSCAR file:
```
MgTl6C2O6F2
1.0
6.039 -0.175 -0.142
-0.379 7.736 0.099
-0.122 -2.315 8.123
Tl F C O Mg
6 2 2 6 1
Cartesian
0.951 5.185 3.958
4.126 4.583 6.575
0.688 2.035 7.905
4.437 -0.227 3.670
1.491 0.107 1.349
4.078 2.659 1.719
0.106 2.228 3.586
2.430 3.330 4.986
1.965 -0.431 6.583
3.437 5.771 1.214
1.522 0.561 5.847
3.762 7.038 1.174
3.339 5.098 0.101
1.865 -0.294 7.878
3.215 5.187 2.356
2.453 -1.490 6.043
1.804 1.680 4.250
```

Properties
Formation energy from raw total energies   -1.277 eV per atom
ρ   6.15 g/cm3

---

VASP calculation (GGA-PBE) on a relaxed ZrAg4 crystal.

POSCAR file:
```
ZrAg4
1.0
-0.299 -7.377 8.129
2.395 -1.539 -0.774
1.604 1.509 1.964
Ag Zr
4 1
Cartesian
3.978 -0.099 1.260
0.642 -4.364 5.045
3.089 -2.946 4.174
1.531 -1.517 2.132
2.161 -5.920 7.217
```

Properties
Calculated formation energy   18.2 meV/atom
ρ   9.25 g/cm3

---

VASP calculation (GGA-PBE) on a relaxed YCd4Hg crystal.

POSCAR file:
```
YCd4Hg
1.0
-3.513 -2.820 -2.207
4.850 -1.176 -0.516
-0.342 -3.751 5.335
Y Cd Hg
1 4 1
Cartesian
-0.171 -1.876 2.668
1.807 -4.518 2.895
-0.980 -5.066 2.331
1.975 -2.681 0.281
-0.813 -3.229 -0.283
0.000 0.000 0.000
```

Properties
Calculated formation energy   -196.4 meV/atom
Polymorph energy (0 for the lowest one)   0 meV per atom
ρ   8.62 g/cm3

---

VASP calculation (GGA-PBE) on a relaxed VSi2Ru2 crystal.

POSCAR file:
```
VSi2Ru2
1.0
6.918 0.000 0.000
0.000 6.918 0.000
0.000 0.000 2.800
V Ru Si
2 4 4
Cartesian
3.459 3.459 0.000
0.000 0.000 0.000
2.399 1.060 1.400
5.858 2.399 1.400
1.060 4.519 1.400
4.519 5.858 1.400
5.920 4.457 0.000
2.461 5.920 0.000
4.457 0.998 0.000
0.998 2.461 0.000
```

Properties
Formation energy from raw total energies   -0.435 eV per atom
ρ   7.66 g/cm3

---

VASP calculation (GGA-PBE) on a relaxed RbMgPdCl6 crystal.

POSCAR file:
```
RbMgPdCl6
1.0
-6.239 2.150 -0.438
-2.768 0.995 -5.670
-2.663 -6.962 -0.064
Cl Pd Mg Rb
6 1 1 1
Cartesian
-8.043 0.478 -2.583
-4.778 -0.850 -0.370
-4.846 -0.837 -3.731
-3.614 -4.072 -3.604
-6.834 -3.202 -2.448
-4.114 -3.964 -0.282
-4.334 -2.431 -2.053
-7.340 -1.386 -4.006
-5.435 -5.965 -5.681
```

Properties
Formation energy from raw total energies   -1.231 eV per atom
ρ   2.65 g/cm3

---

VASP calculation (GGA-PBE) on a relaxed K3CoI crystal.

POSCAR file:
```
K3CoI
1.0
-0.141 -5.104 -3.411
0.547 -3.409 5.078
-6.115 -0.187 0.533
K Co I
3 1 1
Cartesian
-0.071 -2.552 -1.705
0.274 -1.704 2.539
-3.057 -0.094 0.267
0.000 0.000 0.000
-2.854 -4.350 1.100
```

Properties
Formation energy from raw total energies   0.162 eV per atom
Polymorph energy (0 for the lowest one)   0 meV per atom
ρ   2.17 g/cm3

---

VASP calculation (GGA-PBE) on a relaxed Li3Hg2Pb crystal.

POSCAR file:
```
Li3Hg2Pb
1.0
3.416 0.000 0.000
0.000 3.416 0.000
0.000 0.000 10.145
Hg Pb Li
2 1 3
Cartesian
1.708 1.708 1.594
1.708 1.708 8.551
1.708 1.708 5.073
0.000 0.000 6.962
0.000 0.000 0.000
0.000 0.000 3.183
```

Properties
Calculated formation energy   -334.3 meV/atom
ρ   8.82 g/cm3

---

VASP calculation (GGA-PBE) on a relaxed AcPuTlHg crystal.

POSCAR file:
```
AcPuTlHg
1.0
5.600 0.000 0.000
2.800 4.849 0.000
2.800 1.616 4.572
Hg Pu Ac Tl
1 1 1 1
Cartesian
0.000 0.000 0.000
2.800 1.616 1.143
8.399 4.849 3.429
5.600 3.233 2.286
```

Properties
Calculated formation energy   -199.7 meV/atom
ρ   11.72 g/cm3

---

VASP calculation (GGA-PBE) on a relaxed EuNbSb2 crystal.

POSCAR file:
```
EuNbSb2
1.0
-1.588 -0.049 3.768
0.319 -3.359 2.310
6.066 1.383 4.793
Nb Sb Eu
1 2 1
Cartesian
0.000 0.000 0.000
0.977 -0.593 2.623
3.821 -1.433 8.248
2.399 -1.013 5.435
```

Properties
Formation energy from raw total energies   -0.460 eV per atom
Polymorph energy (0 for the lowest one)   0 meV per atom
ρ   7.48 g/cm3